Density functional theory data (GGA-PBE) for GdAlHg2 after structural relaxation.

```
GdAlHg2
1.0
-1.4056 -3.2310 -0.5338
-0.4084 -0.4034 3.5172
-6.5998 2.9420 -0.4289
Gd Hg Al
1 2 1
Cartesian
-0.9070 -1.8172 1.4917 Gd
-4.7689 2.1258 -0.3099 Hg
-1.8309 0.8162 -0.1190 Hg
-4.2069 -0.3462 1.2772 Al
```

## Properties
- N(E_F): 2.9 states/eV/cell
- E above lowest polymorph: 0.087 eV per atom
- Total moment: 7.42 μB/f.u.
- Crystal system: tetragonal
- DFT total energy: -4.841 eV per atom
- DFT formation energy: -22.6 kJ/mol of atoms